The following is a DFT calculation (GGA-PBE) of a relaxed structure of EuPaP2.

Calculated values
Fermi-level density of states in states/eV per cell: 4.4
ΔE to the lowest computed polymorph in eV per atom: 0.295
Total moment in μB per formula unit: 7.17

a b c (Å): 3.4758 3.4758 7.0916
angles (deg): 90.00 90.00 90.00
Site moments in Bohr magnetons follow the coordinates.
Element x y z (fractional)
Pa 0.5000 0.5000 0.0000  0.23
Eu 0.5000 0.5000 0.5000  6.80
P 0.0000 0.0000 0.7751  -0.04
P 0.0000 0.0000 0.2249  -0.04